(1)
The following is a PBE calculation of crystalline La2Pm2Ge2H at its relaxed geometry, from Alexandria via LeMat-Bulk.

POSCAR file:
```
La2Pm2Ge2H
1.0
4.613 0.000 0.000
0.000 4.613 0.000
-2.307 -2.307 8.403
Ge La H Pm
2 2 1 2
direct
0.631 0.631 0.261
0.369 0.369 0.739
0.182 0.182 0.365
0.818 0.818 0.635
0.000 0.000 0.000
0.500 0.000 0.000
0.000 0.500 0.000
```

Total DFT energy (no corrections) = -36.41 eV for the cell shown
Crystal system = tetragonal



(2)
The following is a PBE calculation of crystalline BaPuZnO4 at its relaxed geometry, from Alexandria via LeMat-Bulk.

POSCAR file:
```
BaPuZnO4
1.0
6.593 0.000 0.000
-3.297 6.286 -0.303
0.000 -3.663 6.024
Zn O Pu Ba
2 8 2 2
direct
0.500 0.500 0.500
0.000 0.500 0.500
0.305 0.019 0.760
0.695 0.981 0.240
0.715 0.430 0.274
0.285 0.570 0.726
0.285 0.570 0.344
0.715 0.430 0.656
0.286 0.981 0.240
0.714 0.019 0.760
0.500 0.000 0.000
0.500 0.000 0.500
0.843 0.685 0.093
0.157 0.315 0.907
```

Crystal system = orthorhombic
Formation energy without anion corrections = -2.32 eV per atom



(3)
The following is a PBE calculation of crystalline Ba2CdIrI at its relaxed geometry, from Alexandria via LeMat-Bulk.

POSCAR file:
```
Ba2CdIrI
1.0
-4.449 -3.899 -1.294
4.084 -3.987 -2.026
0.394 -2.058 4.845
Ir Ba I Cd
1 2 1 1
direct
0.000 0.000 0.000
0.500 0.000 0.000
0.000 0.500 0.000
0.500 0.500 0.500
0.000 0.000 0.500
```

Crystal system = tetragonal
Formation energy without anion corrections = -0.58 eV per atom



(4)
The following is a PBE calculation of crystalline HoLuCuRu at its relaxed geometry, from Alexandria via LeMat-Bulk.

POSCAR file:
```
HoLuCuRu
1.0
-1.870 4.352 -0.736
-4.743 0.525 -0.461
-2.523 2.143 3.468
Lu Ho Cu Ru
1 1 1 1
direct
0.000 0.000 0.000
0.500 0.500 0.500
0.250 0.250 0.250
0.750 0.750 0.750
```

Crystal system = cubic
Energy of formation = -392 meV/atom



(5)
The following is a PBE calculation of crystalline NaMnPd14 at its relaxed geometry, from Alexandria via LeMat-Bulk.

POSCAR file:
```
NaMnPd14
1.0
-0.734 -4.929 2.518
4.204 -2.149 -2.981
5.120 2.140 5.680
Pd Mn Na
14 1 1
direct
0.628 0.122 0.251
0.122 0.122 0.749
0.875 0.375 0.000
0.875 0.875 0.000
0.122 0.628 0.749
0.375 0.875 0.500
0.875 0.375 0.500
0.628 0.628 0.251
0.375 0.375 0.000
0.628 0.628 0.749
0.122 0.122 0.251
0.628 0.122 0.749
0.375 0.875 0.000
0.122 0.628 0.251
0.875 0.875 0.500
0.375 0.375 0.500
```

Crystal system = tetragonal
Energy of formation = -48 meV/atom



(6)
The following is a PBE calculation of crystalline TbSm5Dy2Ho at its relaxed geometry, from Alexandria via LeMat-Bulk.

POSCAR file:
```
TbSm5Dy2Ho
1.0
-0.668 5.595 0.213
-5.356 -3.160 -8.415
-8.684 -1.266 6.003
Dy Sm Tb Ho
4 10 2 2
direct
0.112 0.224 0.737
0.115 0.230 0.315
0.888 0.776 0.237
0.885 0.770 0.815
0.481 0.961 0.741
0.702 0.403 0.207
0.280 0.561 0.312
0.613 0.226 0.523
0.387 0.774 0.023
0.298 0.597 0.707
0.017 0.034 0.020
0.720 0.439 0.812
0.519 0.039 0.241
0.983 0.966 0.520
0.411 0.822 0.458
0.589 0.178 0.958
0.199 0.398 0.011
0.801 0.602 0.511
```

Crystal system = orthorhombic
Energy of formation = 148 meV/atom



(7)
The following is a PBE calculation of crystalline CaTlRuN2 at its relaxed geometry, from Alexandria via LeMat-Bulk.

POSCAR file:
```
CaTlRuN2
1.0
-3.375 2.040 -1.813
-3.298 -4.893 0.635
-1.276 1.369 3.916
Tl Ru N Ca
1 1 2 1
direct
0.000 0.000 0.000
0.500 0.500 0.500
0.500 0.000 0.000
0.000 0.000 0.500
0.000 0.500 0.000
```

Crystal system = tetragonal
Formation energy without anion corrections = 2.26 eV per atom



(8)
The following is a PBE calculation of crystalline Lu12Pu3Au5 at its relaxed geometry, from Alexandria via LeMat-Bulk.

POSCAR file:
```
Lu12Pu3Au5
1.0
-3.679 11.490 -8.840
-12.268 -7.911 3.258
6.091 5.184 12.638
Lu Au Pu
48 20 12
direct
0.425 0.042 0.327
0.075 0.902 0.118
0.958 0.382 0.285
0.173 0.098 0.715
0.075 0.173 0.458
0.902 0.827 0.785
0.598 0.715 0.673
0.458 0.673 0.075
0.118 0.715 0.542
0.173 0.075 0.958
0.042 0.425 0.827
0.327 0.542 0.425
0.715 0.118 0.042
0.402 0.285 0.327
0.458 0.785 0.882
0.285 0.882 0.958
0.618 0.042 0.215
0.785 0.458 0.382
0.327 0.785 0.402
0.958 0.575 0.173
0.882 0.285 0.458
0.715 0.598 0.173
0.827 0.902 0.285
0.542 0.215 0.118
0.118 0.402 0.075
0.598 0.882 0.425
0.785 0.327 0.902
0.882 0.598 0.925
0.673 0.458 0.575
0.425 0.382 0.598
0.382 0.425 0.098
0.215 0.542 0.618
0.902 0.075 0.618
0.827 0.925 0.042
0.925 0.827 0.542
0.215 0.673 0.098
0.285 0.402 0.827
0.382 0.958 0.785
0.402 0.118 0.575
0.042 0.618 0.715
0.098 0.173 0.215
0.673 0.215 0.598
0.925 0.098 0.882
0.575 0.618 0.402
0.098 0.925 0.382
0.618 0.575 0.902
0.575 0.958 0.673
0.542 0.327 0.925
0.500 0.000 0.000
0.875 0.250 0.625
0.125 0.375 0.250
0.000 0.500 0.500
0.875 0.625 0.750
0.750 0.125 0.875
0.250 0.875 0.125
0.375 0.250 0.125
0.625 0.750 0.875
0.000 0.000 0.000
0.000 0.500 0.000
0.250 0.375 0.625
0.000 0.000 0.500
0.625 0.875 0.250
0.750 0.625 0.375
0.500 0.500 0.500
0.500 0.000 0.500
0.125 0.750 0.375
0.500 0.500 0.000
0.375 0.125 0.750
0.750 0.375 0.125
0.750 0.875 0.625
0.250 0.625 0.875
0.375 0.625 0.250
0.625 0.375 0.750
0.375 0.750 0.625
0.875 0.750 0.125
0.125 0.875 0.750
0.625 0.250 0.375
0.125 0.250 0.875
0.875 0.125 0.250
0.250 0.125 0.375
```

Crystal system = cubic
Energy of formation = 164 meV/atom